1.
Here is a relaxed ThNiAsH crystal from Alexandria. Energies are from PBE.

Geometry as POSCAR:
```
ThNiAsH
1.0
4.147 0.000 0.000
-2.073 3.591 0.006
0.000 -0.007 4.098
As H Ni Th
1 1 1 1
Cartesian
2.073 2.905 3.237
0.000 1.712 1.105
0.000 1.708 3.558
2.073 0.514 1.289
```

Values from the calculation:
SG: P3m1, No. 156
Density of states at the Fermi level, states/eV/cell: 0.9
Final energy, eV/atom: -6.250

---

2.
Here is a relaxed TiNi2AsH crystal from Alexandria. Energies are from PBE.

Geometry as POSCAR:
```
TiNi2AsH
1.0
3.644 0.000 0.000
0.000 3.644 0.000
0.000 0.000 4.089
H As Ni Ti
1 1 2 1
Cartesian
0.000 0.000 0.000
1.822 1.822 2.044
1.822 0.000 0.000
0.000 1.822 0.000
0.000 0.000 2.044
```

Values from the calculation:
SG: P4/mmm, No. 123
Density of states at the Fermi level, states/eV/cell: 1.6
Final energy, eV/atom: -5.903

---

3.
Here is a relaxed TlNiAsH2 crystal from Alexandria. Energies are from PBE.

Geometry as POSCAR:
```
TlNiAsH2
1.0
3.601 0.000 0.000
0.000 5.939 0.000
0.000 0.000 3.601
Tl Ni H As
1 1 2 1
Cartesian
0.000 0.000 0.000
0.000 2.970 0.000
1.801 0.000 0.000
0.000 0.000 1.801
1.801 2.970 1.801
```

Values from the calculation:
SG: P4/mmm, No. 123
Density of states at the Fermi level, states/eV/cell: 3.0
Final energy, eV/atom: -3.326

---

4.
Here is a relaxed TmNi2AsH crystal from Alexandria. Energies are from PBE.

Geometry as POSCAR:
```
TmNi2AsH
1.0
3.812 0.000 0.000
-1.906 5.050 0.000
0.000 0.000 6.728
Tm Ni H As
2 4 2 2
Cartesian
1.906 0.624 1.682
0.000 4.426 5.046
0.000 1.581 3.749
1.906 3.469 0.385
0.000 1.581 6.342
1.906 3.469 2.979
0.000 0.000 0.000
0.000 0.000 3.364
0.000 2.809 1.682
1.906 2.241 5.046
```

Values from the calculation:
SG: Cmcm, No. 63
Density of states at the Fermi level, states/eV/cell: 3.7
Final energy, eV/atom: -5.488

---

5.
Here is a relaxed UNiAsH crystal from Alexandria. Energies are from PBE.

Geometry as POSCAR:
```
UNiAsH
1.0
-1.359 0.277 -3.822
3.404 -2.074 0.802
-2.089 -3.233 0.508
As Ni H U
1 1 1 1
Cartesian
-0.123 -3.986 -2.408
-0.477 -3.673 -0.097
0.695 -1.861 -0.382
-0.931 -1.135 -1.914
```

Values from the calculation:
SG: P3m1, No. 156
Density of states at the Fermi level, states/eV/cell: 6.6
Final energy, eV/atom: -6.857

---

6.
Here is a relaxed U3Ni2As2H4 crystal from Alexandria. Energies are from PBE.

Geometry as POSCAR:
```
U3Ni2As2H4
1.0
-1.887 2.386 -2.406
-0.214 -2.832 -2.640
-7.376 -2.646 6.286
U As H Ni
3 2 4 2
Cartesian
-6.852 -2.199 0.067
-2.625 -0.894 1.172
0.000 0.000 0.000
-5.162 -1.757 2.305
-4.316 -1.335 -1.065
-1.365 -1.844 -0.759
-7.276 -3.857 1.881
-2.201 0.765 -0.641
-8.112 -1.248 1.998
-2.158 -0.600 -2.029
-7.319 -2.492 3.268
```

Values from the calculation:
SG: I4/mmm, No. 139
Density of states at the Fermi level, states/eV/cell: 14.1
Final energy, eV/atom: -6.517

---

Q: The lowest final energy belongs to which entry?
A: UNiAsH

---

Q: What is the formula in the fifth record?
A: UNiAsH